This record from Alexandria describes a geometry-optimized Mg2TaZn structure. The functional is PBE.

```
data_Mg2TaZn
_cell_length_a 2.900
_cell_length_b 4.968
_cell_length_c 10.009
_cell_angle_alpha 90.00
_cell_angle_beta 90.00
_cell_angle_gamma 90.00
_space_group_name_H-M_alt 'I m m m'
_space_group_IT_number 71
_space_group_name_Hall '-I 2 2'
loop_
_atom_site_label
_atom_site_type_symbol
_atom_site_fract_x
_atom_site_fract_y
_atom_site_fract_z
Mg1 Mg 0.000 0.000 0.231
Ta1 Ta 0.000 0.500 0.000
Zn1 Zn 0.000 0.500 0.500
```

Computed properties:
For the volume, the calculation gives 144 Å³ per cell. The formation energy comes out at 0.87 eV/f.u.

***

This record from Alexandria describes a geometry-optimized LaNdGaGe structure. The functional is PBE.

```
data_LaNdGaGe
_cell_length_a 7.457
_cell_length_b 7.457
_cell_length_c 7.457
_cell_angle_alpha 90.00
_cell_angle_beta 90.00
_cell_angle_gamma 90.00
_space_group_name_H-M_alt 'F -4 3 m'
_space_group_IT_number 216
_space_group_name_Hall 'F -4 2 3'
loop_
_atom_site_label
_atom_site_type_symbol
_atom_site_fract_x
_atom_site_fract_y
_atom_site_fract_z
La1 La 0.000 0.000 0.000
Nd1 Nd 0.000 0.000 0.500
Ga1 Ga 0.250 0.250 0.250
Ge1 Ge 0.250 0.250 0.750
```

Computed properties:
For the volume, the calculation gives 415 Å³ per cell. The value obtained for the energy above the lowest structure with this stoichiometry is 164 meV per atom. The formation energy comes out at -2.36 eV/f.u.

***

This record from Alexandria describes a geometry-optimized Cs2Ce2TmS6 structure. The functional is PBE.

```
data_Cs2Ce2TmS6
_cell_length_a 7.132
_cell_length_b 12.309
_cell_length_c 8.541
_cell_angle_alpha 90.00
_cell_angle_beta 106.04
_cell_angle_gamma 90.00
_space_group_name_H-M_alt 'C 1 2/m 1'
_space_group_IT_number 12
loop_
_space_group_symop_operation_xyz
'x,y,z'
'-x,-y,-z'
'-x,y,-z'
'x,-y,z'
'x+1/2,y+1/2,z'
'-x+1/2,-y+1/2,-z'
'-x+1/2,y+1/2,-z'
'x+1/2,-y+1/2,z'
loop_
_atom_site_label
_atom_site_type_symbol
_atom_site_fract_x
_atom_site_fract_y
_atom_site_fract_z
Cs1 Cs 0.000 0.167 0.000
Ce1 Ce 0.000 0.334 0.500
Tm1 Tm 0.000 0.000 0.500
S1 S 0.221 0.164 0.676
S2 S 0.234 0.500 0.676
```

Computed properties:
For the volume, the calculation gives 721 Å³ per cell. For the formation energy (no corrections), the calculation gives -1842 meV per atom.

***

This record from Alexandria describes a geometry-optimized Ac2PrZn structure. The functional is PBE.

```
data_Ac2PrZn
_cell_length_a 5.485
_cell_length_b 5.485
_cell_length_c 18.636
_cell_angle_alpha 90.00
_cell_angle_beta 90.00
_cell_angle_gamma 90.00
_space_group_name_H-M_alt 'I 4/m m m'
_space_group_IT_number 139
_space_group_name_Hall '-I 4 2'
loop_
_atom_site_label
_atom_site_type_symbol
_atom_site_fract_x
_atom_site_fract_y
_atom_site_fract_z
Ac1 Ac 0.000 0.000 0.148
Ac2 Ac 0.000 0.500 0.000
Pr1 Pr 0.000 0.000 0.347
Zn1 Zn 0.000 0.500 0.250
```

Computed properties:
For the volume, the calculation gives 561 Å³ per cell. The value obtained for the energy above the lowest structure with this stoichiometry is 0 meV per atom. The formation energy comes out at -0.47 eV/f.u.

***

This record from Alexandria describes a geometry-optimized Ti2SiBr structure. The functional is PBE.

```
data_Ti2SiBr
_cell_length_a 6.441
_cell_length_b 6.441
_cell_length_c 6.441
_cell_angle_alpha 90.00
_cell_angle_beta 90.00
_cell_angle_gamma 90.00
_space_group_name_H-M_alt 'F m -3 m'
_space_group_IT_number 225
_space_group_name_Hall '-F 4 2 3'
loop_
_atom_site_label
_atom_site_type_symbol
_atom_site_fract_x
_atom_site_fract_y
_atom_site_fract_z
Ti1 Ti 0.250 0.250 0.250
Si1 Si 0.000 0.000 0.000
Br1 Br 0.000 0.000 0.500
```

Computed properties:
For the volume, the calculation gives 267 Å³ per cell. The value obtained for the energy above the lowest structure with this stoichiometry is 0 meV per atom. For the formation energy (no corrections), the calculation gives -137 meV per atom.

***

This record from Alexandria describes a geometry-optimized Rb2Hg2Te structure. The functional is PBE.

```
data_Rb2Hg2Te
_cell_length_a 6.791
_cell_length_b 6.791
_cell_length_c 9.948
_cell_angle_alpha 90.00
_cell_angle_beta 90.00
_cell_angle_gamma 90.00
_space_group_name_H-M_alt 'I 4/m m m'
_space_group_IT_number 139
_space_group_name_Hall '-I 4 2'
loop_
_atom_site_label
_atom_site_type_symbol
_atom_site_fract_x
_atom_site_fract_y
_atom_site_fract_z
Rb1 Rb 0.000 0.500 0.250
Hg1 Hg 0.000 0.000 0.158
Te1 Te 0.000 0.000 0.500
```

Computed properties:
For the volume, the calculation gives 459 Å³ per cell. The value obtained for the energy above the lowest structure with this stoichiometry is 123 meV per atom. For the formation energy (no corrections), the calculation gives -424 meV per atom.

***

This record from Alexandria describes a geometry-optimized Na2Tl2InBi structure. The functional is PBE.

```
data_Na2Tl2InBi
_cell_length_a 6.329
_cell_length_b 6.361
_cell_length_c 9.297
_cell_angle_alpha 90.00
_cell_angle_beta 102.91
_cell_angle_gamma 90.00
_space_group_name_H-M_alt 'P 1 21/m 1'
_space_group_IT_number 11
loop_
_space_group_symop_operation_xyz
'x,y,z'
'-x,-y,-z'
'-x,y+1/2,-z'
'x,-y+1/2,z'
loop_
_atom_site_label
_atom_site_type_symbol
_atom_site_fract_x
_atom_site_fract_y
_atom_site_fract_z
Na1 Na 0.042 0.250 0.417
Na2 Na 0.351 0.750 0.984
Tl1 Tl 0.451 0.003 0.666
In1 In 0.170 0.250 0.105
Bi1 Bi 0.025 0.750 0.229
```

Computed properties:
For the volume, the calculation gives 365 Å³ per cell. The formation energy comes out at -0.59 eV/f.u.

***

This record from Alexandria describes a geometry-optimized TlC3 structure. The functional is PBE.

```
data_TlC3
_cell_length_a 3.0853
_cell_length_b 3.0853
_cell_length_c 6.7288
_cell_angle_alpha 90.00
_cell_angle_beta 90.00
_cell_angle_gamma 120.00
_space_group_name_H-M_alt 'P -6 m 2'
_space_group_IT_number 187
_space_group_name_Hall 'P -6 2'
loop_
_atom_site_label
_atom_site_type_symbol
_atom_site_fract_x
_atom_site_fract_y
_atom_site_fract_z
Tl1 Tl 0.0000 0.0000 0.0000
C1 C 0.0000 0.0000 0.5000
C2 C 0.3333 0.6667 0.3966
```

Computed properties:
For the volume, the calculation gives 55 Å³ per cell. The value obtained for the energy above the lowest structure with this stoichiometry is 1638 meV per atom. The formation energy comes out at 9.67 eV/f.u.

***

no.,DFT total energy (eV per atom)
1,-3.862
2,-4.925
3,-5.734
4,-3.685
5,-5.858
6,-1.560
7,-2.429
8,-5.092